SCAN CaMnCl2, PBEsol geometry; magnetization = 1.25 μB per atom; volume = 106.97 Å³/cell; uncorrected energy = -12.325 eV/atom; symmetry = R3m (160); relative energy among the computed polymorphs = 0 meV per atom; formation energy from raw total energies = -1.356 eV/atom; crystal system = trigonal
1.0
1.8742 1.0821 8.7916
-1.8742 1.0821 8.7916
0.0000 -2.1641 8.7916
Ca Mn Cl
1 1 2
Direct
0.0000 0.0000 0.0000
0.2328 0.2328 0.2328
0.5180 0.5180 0.5180
0.7262 0.7262 0.7262